La3PmDyHo: optimized geometry, PBE.

Properties
Crystal system ... monoclinic
SG ... No. 11
VASP energy ... -4.762 eV per atom
ΔE_f ... 0.023 eV/atom

a = 3.6670 Å, b = 10.9797 Å, c = 10.9704 Å
α = 109.64°, β = 90.00°, γ = 90.00°
Fractional positions:
Ho (0.7500, 0.8804, 0.3781)
Ho (0.2500, 0.1196, 0.6219)
La (0.7500, 0.3698, 0.5402)
La (0.2500, 0.6249, 0.7919)
La (0.2500, 0.6302, 0.4598)
La (0.2500, 0.1228, 0.9539)
La (0.7500, 0.3751, 0.2081)
La (0.7500, 0.8772, 0.0461)
Pm (0.7500, 0.3714, 0.8723)
Pm (0.2500, 0.6286, 0.1277)
Dy (0.7500, 0.8798, 0.7053)
Dy (0.2500, 0.1202, 0.2947)


Sm3Ge3Pd2: optimized geometry, PBE.

Properties
Crystal system ... orthorhombic
SG ... No. 62
VASP energy ... -5.680 eV per atom
ΔE_f ... -0.880 eV/atom

a = 5.9029 Å, b = 8.0878 Å, c = 14.7013 Å
α = 90.00°, β = 90.00°, γ = 90.00°
Fractional positions:
Pd (0.3771, 0.4071, 0.8966)
Pd (0.8771, 0.0929, 0.1034)
Pd (0.6229, 0.5929, 0.3966)
Pd (0.3771, 0.4071, 0.6034)
Pd (0.6229, 0.5929, 0.1034)
Pd (0.1229, 0.9071, 0.6034)
Pd (0.1229, 0.9071, 0.8966)
Pd (0.8771, 0.0929, 0.3966)
Ge (0.8964, 0.8021, 0.0410)
Ge (0.3964, 0.6979, 0.9590)
Ge (0.6036, 0.3021, 0.4590)
Ge (0.8964, 0.8021, 0.4590)
Ge (0.1036, 0.1979, 0.5410)
Ge (0.1036, 0.1979, 0.9590)
Ge (0.1121, 0.1787, 0.2500)
Ge (0.6036, 0.3021, 0.0410)
Ge (0.6121, 0.3213, 0.7500)
Ge (0.3879, 0.6787, 0.2500)
Ge (0.3964, 0.6979, 0.5410)
Ge (0.8879, 0.8213, 0.7500)
Sm (0.3734, 0.6831, 0.7500)
Sm (0.6266, 0.3169, 0.2500)
Sm (0.1353, 0.4631, 0.1090)
Sm (0.3647, 0.9631, 0.1090)
Sm (0.8647, 0.5369, 0.8910)
Sm (0.6353, 0.0369, 0.6090)
Sm (0.3647, 0.9631, 0.3910)
Sm (0.8647, 0.5369, 0.6090)
Sm (0.8734, 0.8169, 0.2500)
Sm (0.1266, 0.1831, 0.7500)
Sm (0.1353, 0.4631, 0.3910)
Sm (0.6353, 0.0369, 0.8910)


Pa2Si5Pt3: optimized geometry, PBE.

Properties
Crystal system ... orthorhombic
SG ... No. 72
Uncorrected formation energy ... -0.782 eV/atom
VASP energy ... -7.205 eV per atom

a = 6.1543 Å, b = 8.1535 Å, c = 8.1535 Å
α = 74.37°, β = 67.83°, γ = 67.83°
Each line ends with the local moment (μB).
Fractional positions:
Si (0.0256, 0.2244, 0.2244)  0.00
Si (0.2500, 0.5000, 0.5000)  0.00
Si (0.1131, 0.0378, 0.7360)  0.00
Si (0.6131, 0.7360, 0.0378)  0.00
Si (0.9744, 0.7756, 0.7756)  0.00
Si (0.8869, 0.9622, 0.2640)  0.00
Si (0.7500, 0.5000, 0.5000)  0.00
Si (0.4744, 0.7756, 0.7756)  0.00
Si (0.5256, 0.2244, 0.2244)  0.00
Si (0.3869, 0.2640, 0.9622)  0.00
Pt (0.8613, 0.7469, 0.5305)  0.01
Pt (0.3613, 0.5305, 0.7469)  0.01
Pt (0.6387, 0.4695, 0.2531)  0.01
Pt (0.1387, 0.2531, 0.4695)  0.01
Pt (0.7500, 0.0000, 0.0000)  0.01
Pt (0.2500, 0.0000, 0.0000)  0.01
Pa (0.8687, 0.4048, 0.8578)  0.38
Pa (0.3687, 0.8578, 0.4048)  0.38
Pa (0.1313, 0.5952, 0.1422)  0.38
Pa (0.6313, 0.1422, 0.5952)  0.38


Ba2CaTlF: optimized geometry, PBE.

Properties
Crystal system ... tetragonal
SG ... No. 123
Uncorrected formation energy ... -1.228 eV/atom
VASP energy ... -3.245 eV per atom

a = 6.1402 Å, b = 6.1402 Å, c = 4.5776 Å
α = 90.00°, β = 90.00°, γ = 90.00°
Fractional positions:
Ba (0.0000, 0.5000, 0.0000)
Ba (0.5000, 0.0000, 0.0000)
F (0.0000, 0.0000, 0.0000)
Ca (0.0000, 0.0000, 0.5000)
Tl (0.5000, 0.5000, 0.5000)


KHf3Re: optimized geometry, PBE.

Properties
Crystal system ... cubic
SG ... No. 221
VASP energy ... -6.195 eV per atom
ΔE_f ... 2.487 eV/atom

a = 4.6935 Å, b = 4.6935 Å, c = 4.6935 Å
α = 90.00°, β = 90.00°, γ = 90.00°
Fractional positions:
Hf (0.0000, 0.5000, 0.0000)
Hf (0.0000, 0.0000, 0.5000)
Hf (0.5000, 0.0000, 0.0000)
K (0.0000, 0.0000, 0.0000)
Re (0.5000, 0.5000, 0.5000)


SiSnP: optimized geometry, PBE.

Properties
Crystal system ... triclinic
SG ... No. 1
Uncorrected formation energy ... 0.009 eV/atom
VASP energy ... -4.936 eV per atom

a = 3.4751 Å, b = 5.9519 Å, c = 7.1458 Å
α = 97.99°, β = 103.47°, γ = 89.93°
Fractional positions:
P (0.6138, 0.0156, 0.2457)
P (0.1139, 0.5155, 0.2458)
Si (0.1884, 0.8759, 0.4008)
Si (0.6886, 0.3758, 0.4011)
Sn (0.3877, 0.9514, 0.8054)
Sn (0.8879, 0.4519, 0.8058)


KB2SbO6: optimized geometry, PBE.

Properties
Crystal system ... monoclinic
SG ... No. 9
Uncorrected formation energy ... -2.048 eV/atom
VASP energy ... -6.880 eV per atom

a = 6.9751 Å, b = 6.9751 Å, c = 7.4987 Å
α = 59.50°, β = 59.50°, γ = 61.42°
Fractional positions:
O (0.6720, 0.8507, 0.4783)
O (0.4786, 0.3560, 0.0827)
O (0.3560, 0.4786, 0.5827)
O (0.8507, 0.6720, 0.9783)
O (0.4088, 0.7770, 0.9210)
O (0.5988, 0.1098, 0.7114)
O (0.8454, 0.4311, 0.7974)
O (0.0516, 0.8409, 0.5190)
O (0.8409, 0.0516, 0.0190)
O (0.1098, 0.5988, 0.2114)
O (0.7770, 0.4088, 0.4210)
O (0.4311, 0.8454, 0.2974)
B (0.3325, 0.5864, 0.0637)
B (0.2826, 0.7160, 0.4673)
B (0.5864, 0.3325, 0.5637)
B (0.7160, 0.2826, 0.9673)
Sb (0.7769, 0.7456, 0.2331)
Sb (0.7456, 0.7769, 0.7331)
K (0.1531, 0.1939, 0.0575)
K (0.1939, 0.1531, 0.5575)


PtPb5: optimized geometry, PBE.

Properties
Crystal system ... orthorhombic
SG ... No. 65
VASP energy ... -4.083 eV per atom
ΔE_f ... 0.014 eV/atom

a = 9.2392 Å, b = 9.2392 Å, c = 5.5714 Å
α = 90.00°, β = 90.00°, γ = 158.18°
Fractional positions:
Pt (0.1389, 0.8611, 0.5000)
Pb (0.3075, 0.6925, 0.0000)
Pb (0.6389, 0.3611, 0.0000)
Pb (0.9701, 0.0299, 0.0000)
Pb (0.7652, 0.2348, 0.5000)
Pb (0.5126, 0.4874, 0.5000)


| no. | V (Å³ per atom) |
| --- | --- |
| 1 | 34.7 |
| 2 | 21.9 |
| 3 | 17.4 |
| 4 | 34.5 |
| 5 | 20.7 |
| 6 | 23.7 |
| 7 | 12.9 |
| 8 | 29.5 |